Record 1
Below is a geometry-optimized Sc4Ge3 structure, with properties calculated at the GGA-PBE level. Values from VASP.

Output
SG	I-43d (220)
calculated formation energy	-81	kJ per mole of atoms

The structure in Quantum ESPRESSO input format:
```
&SYSTEM
  ibrav = 0, nat = 14, ntyp = 2
/
ATOMIC_SPECIES
Sc 44.96 Sc.upf
Ge 72.64 Ge.upf
CELL_PARAMETERS angstrom
-4.1368 4.1368 4.1368
4.1368 -4.1368 4.1368
4.1368 4.1368 -4.1368
ATOMIC_POSITIONS crystal
Sc 0.0000 0.3625 0.5000
Sc 0.0000 0.8625 0.5000
Sc 0.1375 0.1375 0.1375
Sc 0.3625 0.5000 0.0000
Sc 0.5000 0.0000 0.3625
Sc 0.5000 0.0000 0.8625
Sc 0.6375 0.6375 0.6375
Sc 0.8625 0.5000 0.0000
Ge 0.1250 0.7500 0.8750
Ge 0.2500 0.6250 0.3750
Ge 0.3750 0.2500 0.6250
Ge 0.6250 0.3750 0.2500
Ge 0.7500 0.8750 0.1250
Ge 0.8750 0.1250 0.7500
```

Record 2
Below is a geometry-optimized Sc5Ge4 structure, with properties calculated at the GGA-PBE level. Values from VASP.

Output
SG	Pnma (62)
E above lowest polymorph	0.0	kJ/mol of atoms
calculated formation energy	-82	kJ per mole of atoms

The structure in Quantum ESPRESSO input format:
```
&SYSTEM
  ibrav = 0, nat = 36, ntyp = 2
/
ATOMIC_SPECIES
Sc 44.96 Sc.upf
Ge 72.64 Ge.upf
CELL_PARAMETERS angstrom
7.1422 0.0000 0.0000
0.0000 13.7998 0.0000
0.0000 0.0000 7.2641
ATOMIC_POSITIONS crystal
Sc 0.0210 0.0980 0.1780
Sc 0.0210 0.4020 0.1780
Sc 0.1325 0.6215 0.3360
Sc 0.1325 0.8785 0.3360
Sc 0.2006 0.2500 0.5017
Sc 0.2994 0.7500 0.0017
Sc 0.3675 0.1215 0.8360
Sc 0.3675 0.3785 0.8360
Sc 0.4790 0.5980 0.6780
Sc 0.4790 0.9020 0.6780
Sc 0.5210 0.0980 0.3220
Sc 0.5210 0.4020 0.3220
Sc 0.6325 0.6215 0.1640
Sc 0.6325 0.8785 0.1640
Sc 0.7006 0.2500 0.9983
Sc 0.7994 0.7500 0.4983
Sc 0.8675 0.1215 0.6640
Sc 0.8675 0.3785 0.6640
Sc 0.9790 0.5980 0.8220
Sc 0.9790 0.9020 0.8220
Ge 0.0669 0.2500 0.8827
Ge 0.1707 0.7500 0.6435
Ge 0.2082 0.0417 0.5354
Ge 0.2082 0.4583 0.5354
Ge 0.2918 0.5417 0.0354
Ge 0.2918 0.9583 0.0354
Ge 0.3293 0.2500 0.1435
Ge 0.4331 0.7500 0.3827
Ge 0.5669 0.2500 0.6173
Ge 0.6707 0.7500 0.8565
Ge 0.7082 0.0417 0.9646
Ge 0.7082 0.4583 0.9646
Ge 0.7918 0.5417 0.4646
Ge 0.7918 0.9583 0.4646
Ge 0.8293 0.2500 0.3565
Ge 0.9331 0.7500 0.1173
```

Record 3
Below is a geometry-optimized ScGe3Se structure, with properties calculated at the GGA-PBE level. Values from VASP.

Output
SG	Pm-3m (221)
E above lowest polymorph	8.5	kJ/mol of atoms
raw formation energy	305	kJ/mol of formula units

The structure in Quantum ESPRESSO input format:
```
&SYSTEM
  ibrav = 0, nat = 5, ntyp = 3
/
ATOMIC_SPECIES
Sc 44.96 Sc.upf
Ge 72.64 Ge.upf
Se 78.96 Se.upf
CELL_PARAMETERS angstrom
5.1870 0.0000 0.0000
0.0000 5.1870 0.0000
0.0000 0.0000 5.1870
ATOMIC_POSITIONS crystal
Sc 0.0000 0.0000 0.0000
Ge 0.0000 0.0000 0.5000
Ge 0.0000 0.5000 0.0000
Ge 0.5000 0.0000 0.0000
Se 0.5000 0.5000 0.5000
```

Record 4
Below is a geometry-optimized Sc4GeSe2 structure, with properties calculated at the GGA-PBE level. Values from VASP.

Output
SG	Cmcm (63)
raw formation energy	-795	kJ/mol of formula units

The structure in Quantum ESPRESSO input format:
```
&SYSTEM
  ibrav = 0, nat = 14, ntyp = 3
/
ATOMIC_SPECIES
Sc 44.96 Sc.upf
Ge 72.64 Ge.upf
Se 78.96 Se.upf
CELL_PARAMETERS angstrom
1.9211 -6.2059 0.0000
1.9211 6.2059 0.0000
0.0000 0.0000 12.5707
ATOMIC_POSITIONS crystal
Sc 0.0000 0.0000 0.0000
Sc 0.0000 0.0000 0.5000
Sc 0.2775 0.7225 0.6280
Sc 0.2775 0.7225 0.8720
Sc 0.4541 0.5459 0.2500
Sc 0.5459 0.4541 0.7500
Sc 0.7225 0.2775 0.1280
Sc 0.7225 0.2775 0.3720
Ge 0.1076 0.8924 0.2500
Ge 0.8924 0.1076 0.7500
Se 0.3621 0.6379 0.0632
Se 0.3621 0.6379 0.4368
Se 0.6379 0.3621 0.5632
Se 0.6379 0.3621 0.9368
```

Record 5
Below is a geometry-optimized ScGeSe2 structure, with properties calculated at the GGA-PBE level. Values from VASP.

Output
SG	I-42d (122)
raw formation energy	-230	kJ/mol of formula units

The structure in Quantum ESPRESSO input format:
```
&SYSTEM
  ibrav = 0, nat = 8, ntyp = 3
/
ATOMIC_SPECIES
Sc 44.96 Sc.upf
Ge 72.64 Ge.upf
Se 78.96 Se.upf
CELL_PARAMETERS angstrom
-3.1600 3.1600 5.9606
3.1600 -3.1600 5.9606
3.1600 3.1600 -5.9606
ATOMIC_POSITIONS crystal
Sc 0.0000 0.0000 0.0000
Sc 0.7500 0.2500 0.5000
Ge 0.2500 0.7500 0.5000
Ge 0.5000 0.5000 0.0000
Se 0.1053 0.6250 0.9803
Se 0.3750 0.3553 0.4803
Se 0.6447 0.1250 0.0197
Se 0.8750 0.8947 0.5197
```

Record 6
Below is a geometry-optimized ScGe2Se6 structure, with properties calculated at the GGA-PBE level. Values from VASP.

Output
SG	C2/c (15)
raw formation energy	-447	kJ/mol of formula units

The structure in Quantum ESPRESSO input format:
```
&SYSTEM
  ibrav = 0, nat = 18, ntyp = 3
/
ATOMIC_SPECIES
Sc 44.96 Sc.upf
Ge 72.64 Ge.upf
Se 78.96 Se.upf
CELL_PARAMETERS angstrom
6.2069 -5.7318 0.0000
6.2069 5.7318 0.0000
-1.1534 0.0000 6.5769
ATOMIC_POSITIONS crystal
Sc 0.1043 0.8957 0.7500
Sc 0.8957 0.1043 0.2500
Ge 0.2279 0.3871 0.6727
Ge 0.3871 0.2279 0.1727
Ge 0.6129 0.7721 0.8273
Ge 0.7721 0.6129 0.3273
Se 0.0230 0.1986 0.6374
Se 0.1300 0.6099 0.8866
Se 0.1986 0.0230 0.1374
Se 0.2787 0.4726 0.3538
Se 0.3901 0.8700 0.6134
Se 0.4726 0.2787 0.8538
Se 0.5274 0.7213 0.1462
Se 0.6099 0.1300 0.3866
Se 0.7213 0.5274 0.6462
Se 0.8014 0.9770 0.8626
Se 0.8700 0.3901 0.1134
Se 0.9770 0.8014 0.3626
```

Record 7
Below is a geometry-optimized Sc2GeSe structure, with properties calculated at the GGA-PBE level. Values from VASP.

Output
SG	I-42d (122)
E above lowest polymorph	50.9	kJ/mol of atoms
raw formation energy	-278	kJ/mol of formula units

The structure in Quantum ESPRESSO input format:
```
&SYSTEM
  ibrav = 0, nat = 8, ntyp = 3
/
ATOMIC_SPECIES
Sc 44.96 Sc.upf
Ge 72.64 Ge.upf
Se 78.96 Se.upf
CELL_PARAMETERS angstrom
-3.0161 3.0161 6.3346
3.0161 -3.0161 6.3346
3.0161 3.0161 -6.3346
ATOMIC_POSITIONS crystal
Sc 0.1147 0.6250 0.9897
Sc 0.3750 0.3647 0.4897
Sc 0.6353 0.1250 0.0103
Sc 0.8750 0.8853 0.5103
Ge 0.0000 0.0000 0.0000
Ge 0.7500 0.2500 0.5000
Se 0.2500 0.7500 0.5000
Se 0.5000 0.5000 0.0000
```

Record 8
Below is a geometry-optimized Sc4GeSe3 structure, with properties calculated at the GGA-PBE level. Values from VASP.

Output
SG	Pmmn (59)
raw formation energy	-964	kJ/mol of formula units

The structure in Quantum ESPRESSO input format:
```
&SYSTEM
  ibrav = 0, nat = 16, ntyp = 3
/
ATOMIC_SPECIES
Sc 44.96 Sc.upf
Ge 72.64 Ge.upf
Se 78.96 Se.upf
CELL_PARAMETERS angstrom
5.4137 0.0000 0.0000
0.0000 9.6932 0.0000
0.0000 0.0000 7.6778
ATOMIC_POSITIONS crystal
Sc 0.2500 0.0014 0.1721
Sc 0.2500 0.2500 0.6625
Sc 0.2500 0.4986 0.1721
Sc 0.2500 0.7500 0.6789
Sc 0.7500 0.2500 0.3211
Sc 0.7500 0.5014 0.8279
Sc 0.7500 0.7500 0.3375
Sc 0.7500 0.9986 0.8279
Ge 0.2500 0.2500 0.3150
Ge 0.7500 0.7500 0.6850
Se 0.2500 0.0041 0.8223
Se 0.2500 0.4959 0.8223
Se 0.2500 0.7500 0.3280
Se 0.7500 0.2500 0.6720
Se 0.7500 0.5041 0.1777
Se 0.7500 0.9959 0.1777
```

no.,spin magnetization (Bohr magnetons per cell),final energy (eV/cell)
1,0.00,-90.09
2,0.00,-231.03
3,0.00,-20.50
4,0.00,-90.31
5,0.00,-40.60
6,0.00,-82.21
7,0.00,-47.28
8,0.00,-100.78